No. 1
A plane-wave DFT calculation with PBE was carried out for a relaxed Ga2AgSe3 crystal.

POSCAR file:
```
Ga2AgSe3
1.0
3.798 0.000 0.000
0.000 8.528 -0.449
-1.899 -2.599 10.246
Ga Ag Se
4 2 6
Direct
0.273 0.629 0.547
0.727 0.371 0.453
0.943 0.821 0.887
0.057 0.179 0.113
0.341 0.080 0.682
0.659 0.920 0.318
0.236 0.178 0.472
0.066 0.901 0.132
0.398 0.640 0.796
0.764 0.822 0.528
0.602 0.360 0.204
0.934 0.099 0.868
```

The energy relative to the elements, uncorrected is -2.15 eV/f.u. As for the space-group type: C2/m, No. 12. Its density of states at the Fermi level is 1.9 states/eV/f.u.

---

No. 2
A plane-wave DFT calculation with PBE was carried out for a relaxed NaHoTc2O8 crystal.

POSCAR file:
```
NaHoTc2O8
1.0
-4.573 3.495 -1.453
-0.883 -5.786 0.987
-1.112 1.300 6.625
Na Ho Tc O
1 1 2 8
Direct
0.000 0.000 0.000
0.000 0.000 0.500
0.667 0.333 0.206
0.333 0.667 0.794
0.333 0.667 0.048
0.335 0.168 0.292
0.832 0.168 0.292
0.667 0.333 0.952
0.168 0.832 0.708
0.665 0.832 0.708
0.168 0.335 0.708
0.832 0.665 0.292
```

The energy relative to the elements, uncorrected is -22.51 eV/f.u. As for the space-group type: P-3m1, No. 164. Its density of states at the Fermi level is 6.9 states/eV/f.u.